Computed, not measured: a relaxed Bi2S2N crystal at the PBE-GGA level of DFT.

abc: 7.282 7.282 4.082
angles: 90.00 90.00 90.00
Element x y z (fractional)
S (0.148, 0.648, 0.500)
S (0.648, 0.852, 0.500)
S (0.852, 0.352, 0.500)
S (0.352, 0.148, 0.500)
Bi (0.314, 0.814, 0.000)
Bi (0.814, 0.686, 0.000)
Bi (0.686, 0.186, 0.000)
Bi (0.186, 0.314, 0.000)
N (0.000, 0.000, 0.000)
N (0.500, 0.500, 0.000)

## Properties
The size of the total moment comes out at 0.201 μB per atom. The calculated density comes out at 7.611 g/cm³. The volume is 216 Å³ per cell. The calculation puts the distance to the lowest polymorph of the same formula at 0.072 eV per atom. As for the energy relative to the elements, uncorrected: 44.12 kJ/mol of atoms.